a:
# ErNpC GGA-PBE relaxed
data_ErNpC
_chemical_formula_sum 'Er4 Np4 C4'
_cell_length_a 3.483
_cell_length_b 12.186
_cell_length_c 5.871
_cell_angle_alpha 90.00
_cell_angle_beta 90.00
_cell_angle_gamma 90.00
_space_group_name_H-M_alt 'P 1'
_space_group_IT_number 1
_space_group_name_Hall 'P 1'
loop_
_atom_site_label
_atom_site_fract_x
_atom_site_fract_y
_atom_site_fract_z
Er1 0.750 0.685 0.863
Np1 0.750 0.046 0.105
C1 0.250 0.150 0.927
Np2 0.750 0.546 0.395
C2 0.750 0.350 0.427
Np3 0.250 0.954 0.895
Np4 0.250 0.454 0.605
Er2 0.250 0.815 0.363
Er3 0.750 0.185 0.637
C3 0.250 0.650 0.573
Er4 0.250 0.315 0.137
C4 0.750 0.850 0.073
# Space-group type: Pnma
# D(E_F), states/eV/atom: 1.559


b:
# ErNpC GGA-PBE relaxed
data_ErNpC
_chemical_formula_sum 'Er1 Np1 C1'
_cell_length_a 3.387
_cell_length_b 3.387
_cell_length_c 6.583
_cell_angle_alpha 104.91
_cell_angle_beta 104.91
_cell_angle_gamma 90.00
_space_group_name_H-M_alt 'P 1'
_space_group_IT_number 1
_space_group_name_Hall 'P 1'
loop_
_atom_site_label
_atom_site_fract_x
_atom_site_fract_y
_atom_site_fract_z
Er1 0.869 0.869 0.737
Np1 0.576 0.576 0.153
C1 0.405 0.405 0.810
# Space-group type: I4mm
# D(E_F), states/eV/atom: 2.795


c:
# ErNpC GGA-PBE relaxed
data_ErNpC
_chemical_formula_sum 'Er1 Np1 C1'
_cell_length_a 6.209
_cell_length_b 3.390
_cell_length_c 3.390
_cell_angle_alpha 120.00
_cell_angle_beta 90.00
_cell_angle_gamma 90.00
_space_group_name_H-M_alt 'P 1'
_space_group_IT_number 1
_space_group_name_Hall 'P 1'
loop_
_atom_site_label
_atom_site_fract_x
_atom_site_fract_y
_atom_site_fract_z
C1 0.338 0.667 0.333
Er1 0.102 0.000 0.000
Np1 0.560 0.333 0.667
# Space-group type: P3m1
# D(E_F), states/eV/atom: 2.260


Short version: b is the least stable of them.